Record 1
DFT (PBE) results for a relaxed Mg3UN4 crystal.

## Properties
* DOS(E_F): 2.2 states/eV/cell
* SG: Pm-3m

```
Mg3UN4
1.0
4.5002 0.0268 -0.0266
-0.0269 4.5002 -0.0266
0.0265 0.0268 4.5002
Mg U N
3 1 4
Cartesian
1.1250 3.4017 3.3484 Mg
3.3881 1.1655 3.3483 Mg
3.3614 3.4018 1.0854 Mg
1.1245 1.1380 1.1113 U
3.3758 3.4164 3.3362 N
3.3739 1.1522 1.0987 N
1.1118 3.3874 1.0988 N
1.1385 1.1521 3.3607 N
```

***

Record 2
DFT (PBE) results for a relaxed Mg5U3N12 crystal.

## Properties
* DOS(E_F): 48.8 states/eV/cell
* SG: Ia-3d

```
Mg5U3N12
1.0
-2.3743 -10.4995 1.5890
4.1861 1.3052 -9.9587
7.2509 3.2447 7.4363
U Mg N
12 20 48
Cartesian
0.6954 -6.9796 -1.6132 U
1.9684 -7.8026 -5.1491 U
6.7810 -0.9305 -2.2255 U
2.6488 -1.2450 1.9410 U
0.2585 -8.2128 2.0046 U
3.5387 -2.3104 -3.7692 U
5.5240 -3.6392 2.8358 U
8.8042 2.2631 -2.9380 U
6.4139 -4.7047 -2.8744 U
2.2817 -5.0191 1.2921 U
7.0943 1.8530 4.2157 U
8.3673 1.0300 0.6798 U
3.0857 -0.0118 -1.6768 Mg
2.0930 0.6526 -4.9793 Mg
0.0000 0.0000 0.0000 Mg
1.0625 -3.2054 -0.9643 Mg
2.4383 -3.6274 4.5126 Mg
0.9059 -4.5972 -4.1848 Mg
5.5619 0.8832 -4.4818 Mg
5.0871 -4.8724 6.4537 Mg
3.5547 -5.8421 -2.2438 Mg
5.0711 -1.3406 4.9283 Mg
3.9916 -4.6090 -5.8616 Mg
4.5314 -2.9748 -0.4667 Mg
-1.1871 -5.2498 0.7945 Mg
3.6255 1.6224 3.7181 Mg
5.5080 -0.1075 1.3104 Mg
3.9756 -1.0773 -7.3871 Mg
5.7185 2.2750 -1.2612 Mg
3.5008 -6.8328 3.5484 Mg
8.0002 -2.7442 0.0309 Mg
5.9770 -5.9378 0.7434 Mg
-0.7711 -7.3871 0.3231 N
4.6979 -1.2531 -1.8707 N
1.2133 -8.5361 -0.2426 N
0.6127 -5.1478 -0.5146 N
6.5645 -3.2200 -1.3438 N
1.4471 -8.5453 -2.8594 N
5.2662 -1.1132 -4.1589 N
4.5122 0.8507 -7.8022 N
7.4979 -2.5590 -3.4103 N
2.0842 -6.3807 -3.5571 N
2.7133 -6.2233 -0.4206 N
2.3777 -7.2198 -7.5068 N
6.8433 1.4131 -2.9803 N
1.7052 -2.9699 -2.8901 N
6.3166 1.2787 -6.3396 N
3.7488 -2.0953 3.5647 N
2.2177 -0.1285 0.1699 N
2.3031 -3.5051 -5.5334 N
3.6797 -6.6157 -5.6312 N
1.8398 -0.6291 -3.1748 N
8.5790 -0.1836 -3.1081 N
4.1269 -3.8916 -2.4565 N
5.2944 -6.8729 -2.5410 N
6.0063 -4.6827 4.6381 N
4.9358 -2.0580 1.5231 N
3.7684 0.9233 1.6076 N
3.0564 -1.2670 -5.5715 N
5.3831 0.6661 4.6978 N
0.4837 -5.7660 2.1747 N
7.2229 -5.3205 2.2414 N
6.7596 -2.4445 4.6000 N
5.3139 -3.8543 -4.4980 N
6.8451 -5.8211 -1.1032 N
2.7462 -7.2284 5.4062 N
2.2194 -7.3627 2.0469 N
6.6850 1.2702 6.5734 N
7.3575 -2.9798 1.9567 N
1.5649 -3.3907 2.4769 N
6.9786 0.4311 2.6238 N
6.3494 0.2737 -0.5128 N
4.5505 -6.8003 6.8688 N
3.7965 -4.8364 3.2255 N
8.4501 -0.8018 -0.4188 N
7.6156 2.5957 1.9260 N
2.4982 -2.7296 0.4105 N
7.8495 2.5865 -0.6908 N
4.3648 -4.6966 0.9373 N
9.8339 1.4374 -1.2565 N
```

***

Record 3
DFT (PBE) results for a relaxed Y2MgUN4 crystal.

## Properties
* DOS(E_F): 4.6 states/eV/cell
* SG: P2/m

```
Y2MgUN4
1.0
-0.1233 -3.4196 -0.4272
5.5746 -0.0190 -1.4568
-0.3597 -0.7158 5.8339
Y Mg U N
2 1 1 4
Cartesian
-0.2415 -2.0677 2.7034 Y
2.6074 -0.3674 2.1885 Y
0.0000 0.0000 0.0000 Mg
2.7257 -1.7193 -0.9420 U
1.3281 -1.8823 0.7660 N
3.7634 -2.2721 3.1838 N
1.1486 -0.5508 4.0775 N
4.0663 -0.1840 0.2995 N
```

***

Record 4
DFT (PBE) results for a relaxed Y2Mg3UN6 crystal.

## Properties
* SG: C2/m

```
Y2Mg3UN6
1.0
5.8811 -0.0065 0.0011
-2.9448 5.0908 0.0011
-0.9780 -1.6934 5.2233
Y Mg U N
2 3 1 6
Cartesian
-0.0076 3.3944 0.0011 Y
2.9439 1.6898 0.0011 Y
-2.0013 3.4168 2.6127 Mg
3.9597 -0.0259 2.6127 Mg
0.9792 1.6954 2.6127 Mg
0.0000 0.0000 0.0000 U
2.8777 1.8065 3.9478 N
2.0260 3.5080 1.2271 N
-0.9193 1.5843 1.2777 N
0.1266 3.3954 3.9478 N
-0.0677 -0.1172 3.9984 N
1.8317 -0.0045 1.2777 N
```

***

Record 5
DFT (PBE) results for a relaxed YMg2UN4 crystal.

## Properties
* DOS(E_F): 2.9 states/eV/cell
* SG: P2/m

```
YMg2UN4
1.0
-1.3893 1.9967 2.4028
-0.3178 -4.3594 3.4390
4.9135 -0.3945 3.1689
Y Mg U N
1 2 1 4
Cartesian
-0.8535 -1.1814 2.9209 Y
4.9135 -0.3945 3.1689 Mg
1.7621 0.8011 2.7858 Mg
2.2979 -2.3769 3.3039 U
3.3641 -3.5008 4.8543 N
-0.1576 0.7435 4.1563 N
0.3567 -2.3557 4.5965 N
2.8498 -0.4016 4.4141 N
```

***

Record 6
DFT (PBE) results for a relaxed Mg2UZnN4 crystal.

## Properties
* SG: P2/m

```
Mg2UZnN4
1.0
-2.9500 -0.6986 -1.6502
0.3678 -5.0371 1.4749
-2.7826 2.3311 3.9875
Mg U Zn N
2 1 1 4
Cartesian
-2.8663 0.8162 1.1686 Mg
-1.2074 -1.3530 2.7312 Mg
-1.2911 -2.8679 -0.0876 U
0.0000 0.0000 0.0000 Zn
-2.0922 -1.1490 0.6168 N
-3.2726 -2.2556 3.1954 N
-2.0444 0.5096 3.4389 N
-0.3704 -3.2157 2.0235 N
```

***

Energy relative to the elements, uncorrected? In order: -717.7 -600.2 -1063.2 -1442.3 -926.8 -629.8 kJ/mol of formula units.
Total DFT energy (no corrections)? In order: -56.81 -591.85 -70.13 -93.90 -63.85 -55.58 eV per cell.